NpSnP2 after structural relaxation, computed with PBE.

CIF file:
```
data_NpSnP2
_symmetry_space_group_name_H-M 'P 1'
_symmetry_Int_Tables_number 1
_cell_length_a 3.7086
_cell_length_b 3.7086
_cell_length_c 8.8335
_cell_angle_alpha 77.88
_cell_angle_beta 77.88
_cell_angle_gamma 60.00
loop_
_symmetry_equiv_pos_as_xyz
'x,y,z'
loop_
_atom_site_label
_atom_site_fract_x
_atom_site_fract_y
_atom_site_fract_z
Np1 0.0000 0.0000 0.0000
P1 0.1052 0.1052 0.6844
P2 0.8948 0.8948 0.3156
Sn1 0.5000 0.5000 0.5000
```

Properties
- ΔH_f (0 K): 0.480 eV/atom
- Calculated total energy: -6.46 eV per atom
- Total moment: 4.839 Bohr magnetons per cell
- Crystal system: trigonal